# 1
A relaxed MgSn6Rh crystal. Source: Alexandria, functional PBE-GGA.

a b c (Å): 5.8020 7.7841 6.8924
angles (deg): 55.62 69.04 50.70
Element x y z (fractional)
1 Sn 0.7442 0.4703 0.5741
2 Sn 0.7442 0.0444 0.4259
3 Mg 0.0000 0.0000 0.0000
4 Sn 0.2558 0.5297 0.4259
5 Sn 0.2898 0.2630 0.0000
6 Sn 0.2558 0.9556 0.5741
7 Sn 0.7102 0.7370 0.0000
8 Rh 0.5000 0.5000 0.0000

crystal system	monoclinic
formation energy	-0.069	eV per atom
N(E_F)	2.70	states/eV per cell
volume	199	Å³ per cell
space group	C2/m

# 2
A relaxed Sb2HRhI crystal. Source: Alexandria, functional PBE-GGA.

a b c (Å): 4.3476 4.3476 5.4380
angles (deg): 90.00 90.00 90.00
Element x y z (fractional)
1 Sb 0.0000 0.5000 0.0000
2 Rh 0.5000 0.5000 0.5000
3 H 0.0000 0.0000 0.0000
4 Sb 0.5000 0.0000 0.0000
5 I 0.0000 0.0000 0.5000

crystal system	tetragonal
N(E_F)	2.95	states/eV per cell
volume	103	Å³ per cell
energy above the most stable polymorph in this dataset	21.2	meV per atom
space group	P4/mmm

# 3
A relaxed Er4AlPbC crystal. Source: Alexandria, functional PBE-GGA.

a b c (Å): 6.7562 6.7526 8.4721
angles (deg): 90.00 113.50 90.00
Element x y z (fractional)
1 Pb 0.1092 0.2500 0.2184
2 Al 0.6164 0.7500 0.2328
3 C 0.2518 0.7500 0.5037
4 Er 0.4129 0.7500 0.8259
5 Er 0.0000 0.0000 0.5000
6 Pb 0.8908 0.7500 0.7816
7 Er 0.9082 0.2500 0.8164
8 Er 0.5000 0.5000 0.5000
9 Er 0.0000 0.5000 0.5000
10 Er 0.5871 0.2500 0.1741
11 Er 0.0918 0.7500 0.1836
12 Er 0.5000 0.0000 0.5000
13 Al 0.3836 0.2500 0.7672
14 C 0.7482 0.2500 0.4963

crystal system	orthorhombic
formation energy	-0.396	eV per atom
N(E_F)	9.25	states/eV per cell
volume	354	Å³ per cell
space group	Cmcm

# 4
A relaxed Ce2Pr2Bi2C crystal. Source: Alexandria, functional PBE-GGA.

a b c (Å): 4.8568 4.8568 9.2218
angles (deg): 105.27 105.27 90.00
Element x y z (fractional)
1 Bi 0.6413 0.6413 0.2826
2 Pr 0.1625 0.1625 0.3250
3 Pr 0.8375 0.8375 0.6750
4 Ce 0.0000 0.5000 0.0000
5 Bi 0.3587 0.3587 0.7174
6 Ce 0.5000 0.0000 0.0000
7 C 0.0000 0.0000 0.0000

crystal system	tetragonal
formation energy	-0.618	eV per atom
N(E_F)	10.41	states/eV per cell
volume	202	Å³ per cell
space group	I4/mmm

# 5
A relaxed TbErTlAg crystal. Source: Alexandria, functional PBE-GGA.

a b c (Å): 5.2528 5.2528 5.2528
angles (deg): 60.00 60.00 60.00
Element x y z (fractional)
1 Er 0.5000 0.5000 0.5000
2 Ag 0.2500 0.2500 0.2500
3 Tl 0.7500 0.7500 0.7500
4 Tb 0.0000 0.0000 0.0000

crystal system	cubic
formation energy	-0.336	eV per atom
N(E_F)	3.07	states/eV per cell
volume	102	Å³ per cell
space group	F-43m

# 6
A relaxed InCo2Te crystal. Source: Alexandria, functional PBE-GGA.

a b c (Å): 7.8664 7.8664 7.8664
angles (deg): 23.61 23.61 23.61
Element x y z (fractional)
1 Co 0.0041 0.0041 0.0041
2 In 0.2500 0.2500 0.2500
3 Te 0.7500 0.7500 0.7500
4 Co 0.4959 0.4959 0.4959

crystal system	trigonal
N(E_F)	5.11	states/eV per cell
volume	69	Å³ per cell
energy above the most stable polymorph in this dataset	177.4	meV per atom
space group	R-3m